[1]
! Cu4Ag (PBE, relaxed); values from VASP
! Calculated formation energy in kJ/mol of formula units: 34
! Energy above the most stable polymorph in this dataset in meV per atom: 26
&SYSTEM
  ibrav = 0, nat = 10, ntyp = 2
/
ATOMIC_SPECIES
Ag 107.87 Ag.upf
Cu 63.55 Cu.upf
ATOMIC_POSITIONS crystal
Ag 0.951 0.951 0.155
Ag 0.049 0.049 0.845
Cu 0.657 0.657 0.054
Cu 0.246 0.246 0.263
Cu 0.551 0.551 0.363
Cu 0.848 0.848 0.451
Cu 0.152 0.152 0.549
Cu 0.449 0.449 0.637
Cu 0.754 0.754 0.737
Cu 0.343 0.343 0.946
CELL_PARAMETERS angstrom
4.386 -1.343 0.000
4.386 1.343 0.000
-2.070 0.000 11.077

[2]
! SmTeMo (PBE, relaxed); values from VASP
! Energy above the most stable polymorph in this dataset in meV per atom: 0
! Total magnetic moment in μB per formula unit: 1.2
&SYSTEM
  ibrav = 0, nat = 3, ntyp = 3
/
ATOMIC_SPECIES
Mo 95.94 Mo.upf
Sm 150.36 Sm.upf
Te 127.60 Te.upf
ATOMIC_POSITIONS crystal
Mo 0.000 0.000 0.000
Sm 0.250 0.250 0.250
Te 0.750 0.750 0.750
CELL_PARAMETERS angstrom
0.000 3.351 3.351
3.351 0.000 3.351
3.351 3.351 0.000

[3]
! NaU (PBE, relaxed); values from VASP
! Energy above the most stable polymorph in this dataset in meV per atom: 2094
! Total magnetic moment in μB per formula unit: 5.0
&SYSTEM
  ibrav = 0, nat = 2, ntyp = 2
/
ATOMIC_SPECIES
Na 22.99 Na.upf
U 238.03 U.upf
ATOMIC_POSITIONS crystal
Na 0.000 0.000 0.000
U 0.250 0.250 0.250
CELL_PARAMETERS angstrom
0.000 3.509 3.509
3.509 0.000 3.509
3.509 3.509 0.000

[4]
! ErBiPO (PBE, relaxed); values from VASP
! Energy above the most stable polymorph in this dataset in meV per atom: 95
! Total magnetic moment in μB per formula unit: 0.0
&SYSTEM
  ibrav = 0, nat = 8, ntyp = 4
/
ATOMIC_SPECIES
Bi 208.98 Bi.upf
Er 167.26 Er.upf
O 16.00 O.upf
P 30.97 P.upf
ATOMIC_POSITIONS crystal
Bi 0.000 0.751 0.440
Bi 0.000 0.249 0.940
Er 0.500 0.826 0.036
Er 0.500 0.174 0.536
O 0.500 0.878 0.377
O 0.500 0.122 0.877
P 0.000 0.321 0.401
P 0.000 0.679 0.901
CELL_PARAMETERS angstrom
4.922 0.000 0.000
0.000 6.346 0.000
0.000 0.000 6.140

[5]
! NdGdCu2 (PBE, relaxed); values from VASP
! Calculated formation energy in kJ/mol of formula units: -77
! Energy above the most stable polymorph in this dataset in meV per atom: 13
! Total magnetic moment in μB per formula unit: 0.0
&SYSTEM
  ibrav = 0, nat = 4, ntyp = 3
/
ATOMIC_SPECIES
Cu 63.55 Cu.upf
Gd 157.25 Gd.upf
Nd 144.24 Nd.upf
ATOMIC_POSITIONS crystal
Cu 0.500 0.071 0.071
Cu 0.000 0.932 0.932
Gd 0.000 0.639 0.639
Nd 0.500 0.358 0.358
CELL_PARAMETERS angstrom
4.517 0.000 0.000
0.000 1.898 5.269
0.000 -1.898 5.269

[6]
! BeTlAsOs (PBE, relaxed); values from VASP
! Energy above the most stable polymorph in this dataset in meV per atom: 0
! Total magnetic moment in μB per formula unit: 0.0
&SYSTEM
  ibrav = 0, nat = 4, ntyp = 4
/
ATOMIC_SPECIES
As 74.92 As.upf
Be 9.01 Be.upf
Os 190.23 Os.upf
Tl 204.38 Tl.upf
ATOMIC_POSITIONS crystal
As 0.000 0.000 0.000
Be 0.750 0.750 0.750
Os 0.250 0.250 0.250
Tl 0.500 0.500 0.500
CELL_PARAMETERS angstrom
0.000 3.209 3.209
3.209 0.000 3.209
3.209 3.209 0.000

[7]
! TaNiSnW (PBE, relaxed); values from VASP
! Calculated total energy in eV/atom: -8.21
! Total magnetic moment in μB per formula unit: 0.0
&SYSTEM
  ibrav = 0, nat = 4, ntyp = 4
/
ATOMIC_SPECIES
Ni 58.69 Ni.upf
Sn 118.71 Sn.upf
Ta 180.95 Ta.upf
W 183.84 W.upf
ATOMIC_POSITIONS crystal
Ni 0.750 0.750 0.750
Sn 0.000 0.000 0.000
Ta 0.250 0.250 0.250
W 0.500 0.500 0.500
CELL_PARAMETERS angstrom
0.000 3.223 3.223
3.223 0.000 3.223
3.223 3.223 0.000

[8]
! GdY2Mg3Tl2Zn (PBE, relaxed); values from VASP
! Calculated total energy in eV/atom: -3.48
! Total magnetic moment in μB per formula unit: 0.0
&SYSTEM
  ibrav = 0, nat = 9, ntyp = 5
/
ATOMIC_SPECIES
Gd 157.25 Gd.upf
Mg 24.30 Mg.upf
Tl 204.38 Tl.upf
Y 88.91 Y.upf
Zn 65.41 Zn.upf
ATOMIC_POSITIONS crystal
Gd 0.000 0.585 0.585
Mg 0.500 0.765 0.000
Mg 0.500 0.236 0.236
Mg 0.500 0.000 0.765
Tl 0.500 0.667 0.333
Tl 0.500 0.333 0.667
Y 0.000 0.000 0.413
Y 0.000 0.413 0.000
Zn 0.000 0.001 0.001
CELL_PARAMETERS angstrom
4.565 0.000 0.000
0.000 6.524 3.755
0.000 -6.524 3.755

[9]
! Na4Tl2CdHg (PBE, relaxed); values from VASP
! Calculated total energy in eV/atom: -1.55
&SYSTEM
  ibrav = 0, nat = 8, ntyp = 4
/
ATOMIC_SPECIES
Cd 112.41 Cd.upf
Hg 200.59 Hg.upf
Na 22.99 Na.upf
Tl 204.38 Tl.upf
ATOMIC_POSITIONS crystal
Cd 0.500 0.500 0.000
Hg 0.000 0.000 0.500
Na 0.000 0.000 0.000
Na 0.000 0.500 0.251
Na 0.500 0.500 0.500
Na 0.500 0.000 0.749
Tl 0.500 0.000 0.249
Tl 0.000 0.500 0.751
CELL_PARAMETERS angstrom
-2.779 2.818 3.456
-1.323 -4.410 2.532
6.024 0.663 4.303

[10]
! NdSiGePd2 (PBE, relaxed); values from VASP
! Energy above the most stable polymorph in this dataset in meV per atom: 0
! Total magnetic moment in μB per formula unit: 0.0
&SYSTEM
  ibrav = 0, nat = 5, ntyp = 4
/
ATOMIC_SPECIES
Ge 72.64 Ge.upf
Nd 144.24 Nd.upf
Pd 106.42 Pd.upf
Si 28.09 Si.upf
ATOMIC_POSITIONS crystal
Ge 0.616 0.616 0.000
Nd 0.999 0.999 0.000
Pd 0.755 0.255 0.500
Pd 0.255 0.755 0.500
Si 0.375 0.375 0.000
CELL_PARAMETERS angstrom
-2.143 2.143 5.064
2.143 -2.143 5.064
2.143 2.143 -5.064

[11]
! ZnFeSbOs (PBE, relaxed); values from VASP
! Energy above the most stable polymorph in this dataset in meV per atom: 0
! Total magnetic moment in μB per formula unit: 0.3
&SYSTEM
  ibrav = 0, nat = 4, ntyp = 4
/
ATOMIC_SPECIES
Fe 55.84 Fe.upf
Os 190.23 Os.upf
Sb 121.76 Sb.upf
Zn 65.41 Zn.upf
ATOMIC_POSITIONS crystal
Fe 0.750 0.750 0.750
Os 0.250 0.250 0.250
Sb 0.000 0.000 0.000
Zn 0.500 0.500 0.500
CELL_PARAMETERS angstrom
2.701 -3.379 0.501
-1.542 -4.068 -0.197
0.972 -2.534 -3.406

[12]
! LiScAu2 (PBE, relaxed); values from VASP
! Energy above the most stable polymorph in this dataset in meV per atom: 319
! Total magnetic moment in μB per formula unit: 0.0
&SYSTEM
  ibrav = 0, nat = 8, ntyp = 3
/
ATOMIC_SPECIES
Au 196.97 Au.upf
Li 6.94 Li.upf
Sc 44.96 Sc.upf
ATOMIC_POSITIONS crystal
Au 0.333 0.667 0.084
Au 0.333 0.667 0.416
Au 0.667 0.333 0.584
Au 0.667 0.333 0.916
Li 0.000 0.000 0.250
Li 0.000 0.000 0.750
Sc 0.667 0.333 0.250
Sc 0.333 0.667 0.750
CELL_PARAMETERS angstrom
2.283 2.948 2.611
-2.743 1.529 -3.295
-6.368 0.167 5.379

Number 1: mass density 9.2 g cm⁻³. Number 2: mass density 8.2 g cm⁻³. Number 3: mass density 5.0 g cm⁻³. Number 4: mass density 7.3 g cm⁻³. Number 5: mass density 7.9 g cm⁻³. Number 6: mass density 12.0 g cm⁻³. Number 7: mass density 13.4 g cm⁻³. Number 8: mass density 6.6 g cm⁻³. Number 9: mass density 6.6 g cm⁻³. Number 10: mass density 8.2 g cm⁻³. Number 11: mass density 12.3 g cm⁻³. Number 12: mass density 9.9 g cm⁻³.